No. 1
Below is an optimized crystal structure of Mn2V2Si, with properties calculated at the PBE-GGA level.

Unit cell a=8.0221 b=3.9457 c=4.7508 alpha=90.00 beta=122.11 gamma=90.00
Space group C2/m (No. 12)
One atom of each set of equivalent atoms:
Mn 0.0126 0.0000 0.2325
V 0.2080 0.5000 0.2134
Si 0.0000 0.5000 0.5000

## Properties
The calculation puts the relative energy among the computed polymorphs at 154.6 meV per atom. The calculation puts the formation energy (no corrections) at -0.10 eV/atom. As for the density: 6.3 g/cm3. The value obtained for the density of states at the Fermi level is 3.983 states/eV/f.u.


No. 2
Below is an optimized crystal structure of LaZr2BeTe, with properties calculated at the PBE-GGA level.

Unit cell a=4.8650 b=4.8650 c=4.9733 alpha=90.00 beta=90.00 gamma=90.00
Space group P4/mmm (No. 123)
One atom of each set of equivalent atoms:
La 0.0000 0.0000 0.0000
Zr 0.0000 0.5000 0.5000
Be 0.5000 0.5000 0.5000
Te 0.5000 0.5000 0.0000

## Properties
The calculation puts the formation energy (no corrections) at 0.14 eV/atom. As for the density: 6.5 g/cm3. The value obtained for the density of states at the Fermi level is 4.070 states/eV/f.u.


No. 3
Below is an optimized crystal structure of Si3NiP4, with properties calculated at the PBE-GGA level.

Unit cell a=5.2048 b=5.2048 c=10.4327 alpha=90.00 beta=90.00 gamma=90.00
Space group I-42m (No. 121)
One atom of each set of equivalent atoms:
Si 0.0000 0.0000 0.0000
Si 0.0000 0.5000 0.2500
Ni 0.0000 0.0000 0.5000
P 0.2417 0.2417 0.3814

## Properties
The calculation puts the formation energy (no corrections) at -0.24 eV/atom. As for the density: 3.1 g/cm3.


No. 4
Below is an optimized crystal structure of Mg3Zn7Pt2, with properties calculated at the PBE-GGA level.

Unit cell a=5.1634 b=5.1634 c=26.0464 alpha=90.00 beta=90.00 gamma=120.00
Space group R-3m (No. 166, hexagonal axes)
One atom of each set of equivalent atoms:
Mg 0.0000 0.0000 0.0000
Mg 0.0000 0.0000 0.1463
Zn 0.0000 0.0000 0.5000
Zn 0.0029 0.5015 0.9169
Pt 0.0000 0.0000 0.3337

## Properties
As for the density: 7.6 g/cm3. The value obtained for the density of states at the Fermi level is 3.217 states/eV/f.u. The value obtained for the formation enthalpy at 0 K is -0.291 eV per atom.


No. 5
Below is an optimized crystal structure of ZrSiSe2, with properties calculated at the PBE-GGA level.

Unit cell a=9.3950 b=3.5945 c=5.4663 alpha=90.00 beta=92.46 gamma=90.00
Space group Cm (No. 8)
One atom of each set of equivalent atoms:
Zr 0.0000 0.0000 0.0000
Si 0.2250 0.5000 0.1022
Se 0.0277 0.5000 0.3793
Se 0.3010 0.0000 0.7820

## Properties
The calculation puts the formation energy (no corrections) at -0.47 eV/atom. As for the density: 5.0 g/cm3. The value obtained for the density of states at the Fermi level is 1.238 states/eV/f.u.


No. 6
Below is an optimized crystal structure of PuCdS2O8, with properties calculated at the PBE-GGA level.

Unit cell a=5.6450 b=5.6450 c=8.0810 alpha=90.00 beta=90.00 gamma=120.00
Space group P-3m1 (No. 164)
One atom of each set of equivalent atoms:
Pu 0.0000 0.0000 0.0000
Cd 0.0000 0.0000 0.5000
S 0.3333 0.6667 0.7665
O 0.1901 0.3801 0.8345
O 0.3333 0.6667 0.5875

## Properties
The calculation puts the formation energy (no corrections) at -1.58 eV/atom. As for the density: 4.1 g/cm3. The value obtained for the density of states at the Fermi level is 7.692 states/eV/f.u.


No. 7
Below is an optimized crystal structure of TiHgW2Se, with properties calculated at the PBE-GGA level.

Unit cell a=5.0113 b=5.0113 c=4.9362 alpha=90.00 beta=90.00 gamma=90.00
Space group P4/mmm (No. 123)
One atom of each set of equivalent atoms:
Ti 0.0000 0.0000 0.0000
Hg 0.5000 0.5000 0.5000
W 0.0000 0.5000 0.5000
Se 0.5000 0.5000 0.0000

## Properties
The calculation puts the formation energy (no corrections) at 2.61 eV/atom. As for the density: 9.3 g/cm3. The value obtained for the density of states at the Fermi level is 9.540 states/eV/f.u.


No. 8
Below is an optimized crystal structure of TlCd2Br, with properties calculated at the PBE-GGA level.

Unit cell a=6.2992 b=6.4223 c=6.7422 alpha=90.85 beta=115.67 gamma=102.40
Space group P1 (No. 1)
One atom of each set of equivalent atoms:
Tl 0.0000 0.0000 0.0000
Tl 0.1952 0.6327 0.4232
Cd 0.1360 0.1555 0.5685
Cd 0.4511 0.3969 0.0207
Cd 0.5677 0.1841 0.4362
Cd 0.7204 0.7598 0.4216
Br 0.4382 0.8458 0.9185
Br 0.8408 0.4596 0.8811

## Properties
The calculation puts the relative energy among the computed polymorphs at 69.2 meV per atom. The calculation puts the formation energy (no corrections) at -0.23 eV/atom. As for the density: 7.1 g/cm3. The value obtained for the density of states at the Fermi level is 0.877 states/eV/f.u.


Q: density of number 3 (Si3NiP4)?
A: 3.1 g/cm3